Entry 1:
Density functional theory data (GGA-PBE) for a relaxed CsNiP2S crystal.

Cell: 4.5481 4.5481 5.2953 Å, 90.00 90.00 90.00°
Each line ends with the local moment (μB).
Fractional positions:
Cs 0.5000 0.5000 0.5000  0.01
Ni 0.0000 0.0000 0.0000  0.11
S 0.0000 0.0000 0.5000  -0.03
P 0.0000 0.5000 0.0000  0.11
P 0.5000 0.0000 0.0000  0.11

**VASP energy**: -20.080 eV/cell
**Formation energy (no corrections)**: 145 kJ/mol of formula units
**Distance to the lowest polymorph of the same formula**: 0 meV/atom
**Magnetization**: 0.552 μB/cell

---

Entry 2:
Density functional theory data (GGA-PBE) for a relaxed CsNiPS2 crystal.

Cell: 5.0618 5.0618 4.2946 Å, 90.00 90.00 90.00°
Fractional positions:
Cs 0.5000 0.5000 0.5000
Ni 0.0000 0.0000 0.0000
S 0.0000 0.5000 0.0000
S 0.5000 0.0000 0.0000
P 0.0000 0.0000 0.5000

**VASP energy**: -19.760 eV/cell
**Formation energy (no corrections)**: 52 kJ/mol of formula units
**Distance to the lowest polymorph of the same formula**: 0 meV/atom
**Magnetization**: 0.006 μB/cell

---

Entry 3:
Density functional theory data (GGA-PBE) for a relaxed CsNiP2S8 crystal.

Cell: 5.7112 5.7112 10.6154 Å, 90.00 90.00 120.00°
Fractional positions:
Cs 0.0000 0.0000 0.0000
Ni 0.0000 0.0000 0.5000
P 0.6667 0.3333 0.3117
P 0.3333 0.6667 0.6883
S 0.3333 0.6667 0.8763
S 0.3094 0.3254 0.3662
S 0.6746 0.9840 0.3662
S 0.6667 0.3333 0.1237
S 0.3254 0.0160 0.6338
S 0.6906 0.6746 0.6338
S 0.9840 0.3094 0.6338
S 0.0160 0.6906 0.3662

**VASP energy**: -53.198 eV/cell
**Formation energy (no corrections)**: -263 kJ/mol of formula units
**Magnetization**: 0.000 μB/cell

---

Entry 4:
Density functional theory data (GGA-PBE) for a relaxed CsNi2SbP crystal.

Cell: 4.0780 7.8018 8.3454 Å, 101.92 90.00 90.00°
Fractional positions:
Cs 0.2500 0.0520 0.7515
Cs 0.7500 0.9480 0.2485
Ni 0.7500 0.5304 0.4041
Ni 0.2500 0.4696 0.5959
Ni 0.7500 0.4857 0.8052
Ni 0.2500 0.5143 0.1948
Sb 0.2500 0.6337 0.9288
Sb 0.7500 0.3663 0.0712
P 0.2500 0.6645 0.4397
P 0.7500 0.3355 0.5603

**VASP energy**: -47.269 eV/cell
**Formation energy (no corrections)**: -163 kJ/mol of formula units
**Magnetization**: 0.000 μB/cell

---

Entry 5:
Density functional theory data (GGA-PBE) for a relaxed Cs2ScNiP crystal.

Cell: 6.0375 4.9169 6.0375 Å, 90.00 90.00 90.00°
Each line ends with the local moment (μB).
Fractional positions:
Cs 0.0000 0.0000 0.5000  0.01
Cs 0.5000 0.0000 0.0000  0.01
Ni 0.0000 0.0000 0.0000  0.01
Sc 0.0000 0.5000 0.0000  -0.06
P 0.5000 0.5000 0.5000  0.30

**VASP energy**: -15.709 eV/cell
**Magnetization**: 0.674 μB/cell

---

Entry 6:
Density functional theory data (GGA-PBE) for a relaxed CsNiP2Se8 crystal.

Cell: 5.9388 5.9388 11.3630 Å, 90.00 90.00 120.00°
Fractional positions:
Cs 0.0000 0.0000 0.0000
Ni 0.0000 0.0000 0.5000
P 0.6667 0.3333 0.3050
P 0.3333 0.6667 0.6950
Se 0.3333 0.6667 0.8849
Se 0.2966 0.3351 0.3654
Se 0.6649 0.9614 0.3654
Se 0.6667 0.3333 0.1151
Se 0.3351 0.0386 0.6346
Se 0.7034 0.6649 0.6346
Se 0.9614 0.2966 0.6346
Se 0.0386 0.7034 0.3654

**VASP energy**: -47.547 eV/cell
**Formation energy (no corrections)**: -214 kJ/mol of formula units
**Magnetization**: 0.000 μB/cell

---

Entry 7:
Density functional theory data (GGA-PBE) for a relaxed CsPaNiS4 crystal.

Cell: 6.5936 5.7347 9.5770 Å, 90.00 105.56 90.00°
Each line ends with the local moment (μB).
Fractional positions:
Cs 0.7574 0.7500 0.9537  0.00
Cs 0.2426 0.2500 0.0463  0.00
Pa 0.7375 0.7500 0.4484  0.02
Pa 0.2625 0.2500 0.5516  0.02
Ni 0.2375 0.7500 0.3500  0.50
Ni 0.7625 0.2500 0.6500  0.50
S 0.0107 0.5126 0.6862  0.03
S 0.9893 0.0126 0.3138  0.03
S 0.9893 0.4874 0.3138  0.03
S 0.0107 0.9874 0.6862  0.03
S 0.4520 0.7500 0.2040  0.06
S 0.5480 0.2500 0.7960  0.06
S 0.4244 0.7500 0.5784  0.05
S 0.5756 0.2500 0.4216  0.05

**VASP energy**: -81.704 eV/cell
**Formation energy (no corrections)**: -792 kJ/mol of formula units
**Magnetization**: 1.637 μB/cell

---

Entry 8:
Density functional theory data (GGA-PBE) for a relaxed Cs2Pa2NiS6 crystal.

Cell: 7.2738 7.2738 8.4231 Å, 95.65 95.65 127.25°
Each line ends with the local moment (μB).
Fractional positions:
Cs 0.8564 0.1436 0.0000  0.00
Cs 0.1436 0.8564 0.0000  0.00
Pa 0.3420 0.6580 0.5000  -0.23
Pa 0.6580 0.3420 0.5000  -0.23
Ni 0.0000 0.0000 0.5000  0.15
S 0.7515 0.7515 0.6413  0.01
S 0.0401 0.4414 0.6891  0.01
S 0.2485 0.2485 0.3587  0.01
S 0.4414 0.0401 0.6891  0.01
S 0.9599 0.5586 0.3109  0.01
S 0.5586 0.9599 0.3109  0.01

**VASP energy**: -65.494 eV/cell
**Formation energy (no corrections)**: -1375 kJ/mol of formula units
**Magnetization**: 0.274 μB/cell

---

Entry 9:
Density functional theory data (GGA-PBE) for a relaxed CsPa4Ni3S12 crystal.

Cell: 8.4091 8.4091 8.4091 Å, 109.47 109.47 109.47°
Each line ends with the local moment (μB).
Fractional positions:
Cs 0.0000 0.0000 0.0000  0.00
Pa 0.5000 0.0000 0.0000  0.14
Pa 0.5000 0.5000 0.5000  0.14
Pa 0.0000 0.5000 0.0000  0.14
Pa 0.0000 0.0000 0.5000  0.14
Ni 0.0000 0.5000 0.5000  0.58
Ni 0.5000 0.5000 0.0000  0.58
Ni 0.5000 0.0000 0.5000  0.58
S 0.3276 0.8366 0.1641  0.02
S 0.6724 0.1634 0.8359  0.02
S 0.6724 0.8366 0.5090  0.02
S 0.8359 0.6724 0.1634  0.02
S 0.8366 0.1641 0.3276  0.02
S 0.1634 0.4910 0.3276  0.02
S 0.4910 0.3276 0.1634  0.02
S 0.1634 0.8359 0.6724  0.02
S 0.3276 0.1634 0.4910  0.02
S 0.1641 0.3276 0.8366  0.02
S 0.8366 0.5090 0.6724  0.02
S 0.5090 0.6724 0.8366  0.02

**VASP energy**: -127.558 eV/cell
**Formation energy (no corrections)**: -2108 kJ/mol of formula units
**Magnetization**: 2.900 μB/cell

---

Entry 10:
Density functional theory data (GGA-PBE) for a relaxed Cs2PaNi2S6 crystal.

Cell: 7.2568 7.2476 7.9581 Å, 117.23 90.00 120.04°
Fractional positions:
Cs 0.7348 0.4696 0.2047
Cs 0.2652 0.5304 0.7953
Pa 0.5000 0.0000 0.5000
Ni 0.9267 0.8533 0.7780
Ni 0.0733 0.1467 0.2220
S 0.7449 0.4899 0.7305
S 0.2561 0.0142 0.2697
S 0.2419 0.9858 0.7303
S 0.7439 0.9858 0.7303
S 0.7581 0.0142 0.2697
S 0.2551 0.5101 0.2695

**VASP energy**: -56.935 eV/cell
**Formation energy (no corrections)**: -907 kJ/mol of formula units
**Magnetization**: 0.000 μB/cell

---

Entry 11:
Density functional theory data (GGA-PBE) for a relaxed Cs4Pa3NiSe8 crystal.

Cell: 8.2184 9.7836 8.4934 Å, 116.20 118.93 90.00°
Each line ends with the local moment (μB).
Fractional positions:
Cs 0.5000 0.0000 0.0000  0.01
Cs 0.5000 0.0000 0.5000  0.01
Cs 0.0000 0.0000 0.0000  0.00
Cs 0.0000 0.0000 0.5000  0.01
Pa 0.5000 0.5000 0.0000  1.06
Pa 0.5000 0.5000 0.5000  1.09
Pa 0.0000 0.5000 0.5000  1.09
Ni 0.0000 0.5000 0.0000  0.67
Se 0.2112 0.6730 0.9540  -0.01
Se 0.2426 0.6961 0.4852  -0.02
Se 0.2726 0.3087 0.5452  -0.03
Se 0.7427 0.6730 0.9540  -0.01
Se 0.2573 0.3270 0.0460  -0.01
Se 0.7274 0.6913 0.4548  -0.03
Se 0.7574 0.3039 0.5148  -0.02
Se 0.7888 0.3270 0.0460  -0.01

**VASP energy**: -83.348 eV/cell
**Formation energy (no corrections)**: -1716 kJ/mol of formula units
**Magnetization**: 4.552 μB/cell

---

Entry 12:
Density functional theory data (GGA-PBE) for a relaxed Cs2PaNi2Se4 crystal.

Cell: 4.0600 8.5865 7.6061 Å, 106.74 105.48 90.00°
Fractional positions:
Cs 0.1412 0.5652 0.2824
Cs 0.8588 0.4348 0.7176
Pa 0.0000 0.0000 0.0000
Ni 0.6769 0.9879 0.3538
Ni 0.3231 0.0121 0.6462
Se 0.1979 0.1477 0.3958
Se 0.8021 0.8523 0.6042
Se 0.5213 0.7792 0.0426
Se 0.4787 0.2208 0.9574

**VASP energy**: -45.641 eV/cell
**Formation energy (no corrections)**: -862 kJ/mol of formula units
**Magnetization**: 0.000 μB/cell